1.
A relaxed LiCrFe4 crystal. Source: the Alexandria database, functional PBE-GGA.

## Properties
V (Å³/cell): 73.1
Density of states at the Fermi level (states/eV per cell): 5.6
Space-group type: F-43m, No. 216
Total energy (eV per atom): -7.3760
E_form (eV per atom): 0.1887

Unit cell a=4.6924 b=4.6924 c=4.6924 alpha=60.00 beta=60.00 gamma=60.00
Fractional positions:
Li 0.0000 0.0000 0.0000
Cr 0.7500 0.7500 0.7500
Fe 0.3747 0.3747 0.3747
Fe 0.3747 0.3747 0.8758
Fe 0.3747 0.8758 0.3747
Fe 0.8758 0.3747 0.3747

=====

2.
A relaxed LiMn2CrFe crystal. Source: the Alexandria database, functional PBE-GGA.

## Properties
V (Å³/cell): 71.9
Density of states at the Fermi level (states/eV per cell): 9.7
Space-group type: P4/mmm, No. 123
Total energy (eV per atom): -6.3530
E_form (eV per atom): 1.3148

Unit cell a=4.1859 b=4.1859 c=4.1049 alpha=90.00 beta=90.00 gamma=90.00
Fractional positions:
Li 0.0000 0.0000 0.0000
Mn 0.0000 0.5000 0.5000
Mn 0.5000 0.0000 0.5000
Cr 0.5000 0.5000 0.0000
Fe 0.0000 0.0000 0.5000